[1]
Density functional theory data (GGA-PBE) for a geometry-optimized RbPt3S structure.

```
RbPt3S
1.0
4.710 0.000 0.000
0.000 4.710 0.000
0.000 0.000 4.710
Rb Pt S
1 3 1
Cartesian
2.355 2.355 2.355
2.355 0.000 0.000
0.000 2.355 0.000
0.000 0.000 2.355
0.000 0.000 0.000
```

Output
The calculation puts the formation energy from raw total energies at 1.080 eV/f.u. As for the energy above the most stable polymorph in this dataset: 0 meV/atom. The space-group type is Pm-3m (221).

***

[2]
Density functional theory data (GGA-PBE) for a geometry-optimized AcPm8Y6 structure.

```
AcPm8Y6
1.0
8.067 0.330 2.200
1.765 7.878 2.200
0.395 0.330 8.352
Y Pm Ac
6 8 1
Cartesian
5.816 3.643 3.746
6.215 6.834 6.263
4.012 1.705 6.491
4.411 4.895 9.007
2.652 5.072 5.326
7.574 3.467 7.427
5.553 1.640 9.551
8.757 5.171 4.617
7.817 6.527 9.749
1.470 3.367 8.136
4.674 6.899 3.202
7.165 0.845 5.258
2.409 2.012 3.004
3.062 7.693 7.495
0.000 0.000 0.000
```

Output
Its energy of formation is 0.19 eV per atom. As for the energy above the most stable polymorph in this dataset: 59 meV/atom. The space-group type is R-3 (148).

***

[3]
Density functional theory data (GGA-PBE) for a geometry-optimized Er5Tm4Mg2 structure.

```
Er5Tm4Mg2
1.0
-1.140 -0.684 3.115
-7.940 -1.606 -3.258
7.314 -9.765 -1.309
Tm Er Mg
4 5 2
Cartesian
-2.534 -0.513 -1.040
-3.256 -6.197 -0.711
-5.406 -1.094 -2.218
1.490 -5.859 -0.741
3.830 -7.702 1.551
-0.786 -3.381 -1.030
-0.980 -8.675 -0.422
-0.570 -0.342 1.557
-5.596 -4.354 -3.004
-3.996 -3.284 -0.342
2.230 -8.771 -1.110
```

Output
Its energy of formation is 0.25 eV per atom. As for the energy above the most stable polymorph in this dataset: 113 meV/atom. The space-group type is Immm (71).

***

[4]
Density functional theory data (GGA-PBE) for a geometry-optimized BeZnFe structure.

```
BeZnFe
1.0
-0.326 -2.638 -2.619
2.846 -2.315 -0.681
-0.238 -3.590 0.988
Zn Fe Be
1 1 1
Cartesian
1.141 -4.272 -1.156
0.000 0.000 0.000
1.712 -6.407 -1.734
```

Output
Its energy of formation is 0.34 eV per atom. As for the energy above the most stable polymorph in this dataset: 334 meV/atom. The space-group type is F-43m (216).

***

[5]
Density functional theory data (GGA-PBE) for a geometry-optimized YCrIn2I structure.

```
YCrIn2I
1.0
6.392 0.000 0.000
0.000 6.392 0.000
0.000 0.000 5.155
In Cr I Y
2 1 1 1
Cartesian
0.000 3.196 0.000
3.196 0.000 0.000
0.000 0.000 2.578
0.000 0.000 0.000
3.196 3.196 2.578
```

Output
The calculation puts the formation energy from raw total energies at 6.060 eV/f.u. As for the energy above the most stable polymorph in this dataset: 528 meV/atom. The space-group type is P4/mmm (123).

***

[6]
Density functional theory data (GGA-PBE) for a geometry-optimized TmPaGaPt structure.

```
TmPaGaPt
1.0
4.990 0.000 0.000
2.495 4.321 0.000
2.495 1.440 4.074
Pa Pt Ga Tm
1 1 1 1
Cartesian
0.000 0.000 0.000
7.485 4.321 3.056
2.495 1.440 1.019
4.990 2.881 2.037
```

Output
Its energy of formation is -0.58 eV per atom. The space-group type is F-43m (216).

***

[7]
Density functional theory data (GGA-PBE) for a geometry-optimized Pd2I2O7 structure.

```
Pd2I2O7
1.0
6.481 0.264 0.302
-0.121 5.496 -0.415
-0.121 -1.142 5.392
Pd O I
2 7 2
Cartesian
-0.121 3.436 1.386
-0.121 0.917 3.590
3.241 0.132 0.151
5.161 2.505 5.148
5.161 4.769 3.168
1.078 2.112 0.131
1.270 2.423 2.770
4.970 2.195 2.509
1.078 -0.151 2.111
3.995 3.333 3.810
2.245 1.284 1.468
```

Output
The calculation puts the formation energy from raw total energies at -0.988 eV/f.u. The space-group type is C2/m (12).

***

[8]
Density functional theory data (GGA-PBE) for a geometry-optimized CuIrBr2 structure.

```
CuIrBr2
1.0
-0.472 4.871 6.218
-3.077 -4.512 -2.539
0.515 -3.029 0.801
Br Ir Cu
2 1 1
Cartesian
0.021 0.921 3.509
0.000 0.000 0.000
-1.774 0.180 1.839
-1.281 -3.770 -0.869
```

Output
The calculation puts the formation energy from raw total energies at 2.617 eV/f.u. As for the energy above the most stable polymorph in this dataset: 402 meV/atom. The space-group type is C2/m (12).

***

[9]
Density functional theory data (GGA-PBE) for a geometry-optimized GeTePd3 structure.

```
GeTePd3
1.0
4.949 0.000 0.000
0.000 4.949 0.000
0.000 0.000 4.949
Pd Ge Te
3 1 1
Cartesian
0.000 0.000 2.475
0.000 2.475 0.000
2.475 0.000 0.000
2.475 2.475 2.475
0.000 0.000 0.000
```

Output
The calculation puts the formation energy from raw total energies at 1.900 eV/f.u. As for the energy above the most stable polymorph in this dataset: 746 meV/atom. The space-group type is Pm-3m (221).

***

[10]
Density functional theory data (GGA-PBE) for a geometry-optimized LaCo2Ru structure.

```
LaCo2Ru
1.0
-1.096 2.829 0.625
-0.379 -0.800 2.955
6.468 2.191 1.424
La Ru Co
1 1 2
Cartesian
3.240 1.098 0.713
4.512 2.792 2.946
0.104 0.035 0.023
0.371 1.390 2.034
```

Output
Its energy of formation is 0.29 eV per atom. The space-group type is Pmm2 (25).

***

[11]
Density functional theory data (GGA-PBE) for a geometry-optimized CePm4Dy15 structure.

```
CePm4Dy15
1.0
-4.624 2.023 0.017
-0.726 -1.699 4.697
9.398 21.404 9.197
Dy Pm Ce
15 4 1
Cartesian
2.448 5.553 5.099
2.387 11.713 4.607
4.848 17.295 9.719
-1.390 3.111 0.911
6.164 20.316 8.303
0.559 1.250 3.251
-0.800 4.432 4.192
2.968 13.013 7.879
0.499 7.414 2.760
1.080 8.714 6.032
8.113 18.454 10.643
4.275 16.013 6.455
4.336 9.852 6.947
6.224 14.152 8.794
-2.675 0.162 2.357
7.532 17.155 7.371
1.865 4.248 1.825
3.755 8.553 3.675
5.643 12.851 5.522
0.000 0.000 0.000
```

Output
Its energy of formation is 0.03 eV per atom. The space-group type is P4/mmm (123).

***

[12]
Density functional theory data (GGA-PBE) for a geometry-optimized Zn2MoH2 structure.

```
Zn2MoH2
1.0
-4.292 -3.090 -0.932
2.613 -2.416 -4.021
1.335 -2.585 2.420
H Zn Mo
4 4 2
Cartesian
0.769 -2.971 -3.597
0.065 -1.329 -1.455
-2.448 -2.535 -1.357
-1.744 -4.177 -3.498
1.535 -3.941 -2.097
-1.878 -4.149 -0.436
-0.672 -5.429 -2.469
0.329 -2.661 -0.064
0.000 0.000 0.000
-0.839 -2.753 -2.477
```

Output
The total energy comes out at -3.85 eV/atom. The space-group type is P4/mbm (127).